Version A
VASP calculation (PBE) on PmDyFe after structural relaxation.

Cell lengths 3.388, 3.388, 6.915 Å; angles 104.18, 104.18, 90.00 degrees
Last column: magnetic moment on the atom in μB.
Fractional coordinates of all 3 atoms:
Pm: 0.293 0.293 0.586  -0.14
Fe: 0.664 0.664 0.328  0.88
Dy: 0.043 0.043 0.086  -0.20

Calculated values
space-group type: I4mm, No. 107
volume: 74.5 Å³ per cell



Version B
VASP calculation (PBE) on PmDyFe after structural relaxation.

Cell lengths 6.949, 6.963, 7.379 Å; angles 90.00, 90.00, 119.93 degrees
Last column: magnetic moment on the atom in μB.
Fractional coordinates of all 12 atoms:
Fe: 0.591 0.181 0.542  1.38
Fe: 0.909 0.819 0.042  1.38
Fe: 0.409 0.819 0.458  1.38
Fe: 0.091 0.181 0.958  1.38
Dy: 0.292 0.084 0.250  -0.26
Dy: 0.208 0.916 0.750  -0.26
Dy: 0.708 0.916 0.750  -0.26
Dy: 0.792 0.084 0.250  -0.26
Pm: 0.802 0.604 0.387  -0.12
Pm: 0.698 0.396 0.887  -0.12
Pm: 0.198 0.396 0.613  -0.12
Pm: 0.302 0.604 0.113  -0.12

Calculated values
space-group type: Cmce, No. 64
volume: 309.4 Å³ per cell



Result of the stability comparison: version A is the least stable of them.



Version A
VASP calculation (PBE) on PrDyFe after structural relaxation.

Cell lengths 3.452, 3.452, 6.948 Å; angles 104.39, 104.39, 90.00 degrees
Last column: magnetic moment on the atom in μB.
Fractional coordinates of all 3 atoms:
Pr: 0.296 0.296 0.593  -0.22
Fe: 0.662 0.662 0.324  1.77
Dy: 0.042 0.042 0.083  -0.30

Calculated values
space-group type: I4mm, No. 107
volume: 77.5 Å³ per cell



Version B
VASP calculation (PBE) on PrDyFe after structural relaxation.

Cell lengths 7.008, 7.050, 7.400 Å; angles 90.00, 90.00, 119.80 degrees
Last column: magnetic moment on the atom in μB.
Fractional coordinates of all 12 atoms:
Fe: 0.589 0.178 0.541  1.43
Fe: 0.911 0.822 0.041  1.43
Fe: 0.411 0.822 0.459  1.43
Fe: 0.089 0.178 0.959  1.43
Dy: 0.291 0.081 0.250  -0.26
Dy: 0.209 0.919 0.750  -0.26
Dy: 0.709 0.919 0.750  -0.26
Dy: 0.791 0.081 0.250  -0.26
Pr: 0.802 0.604 0.388  -0.11
Pr: 0.698 0.396 0.888  -0.11
Pr: 0.198 0.396 0.612  -0.11
Pr: 0.302 0.604 0.112  -0.11

Calculated values
space-group type: Cmce, No. 64
volume: 317.3 Å³ per cell



Result of the stability comparison: version A is the least stable of them.



Version A
VASP calculation (PBE) on PrDy2Fe after structural relaxation.

Cell lengths 3.380, 3.380, 9.174 Å; angles 90.00, 90.00, 90.00 degrees
Fractional coordinates of all 4 atoms:
Pr: 0.500 0.500 0.500
Fe: 0.500 0.500 0.000
Dy: 0.000 0.000 0.826
Dy: 0.000 0.000 0.174

Calculated values
space-group type: P4/mmm, No. 123
volume: 104.8 Å³ per cell



Version B
VASP calculation (PBE) on PrDy2Fe after structural relaxation.

Cell lengths 3.504, 3.504, 10.895 Å; angles 80.75, 80.75, 60.00 degrees
Last column: magnetic moment on the atom in μB.
Fractional coordinates of all 4 atoms:
Pr: 0.000 0.000 0.000  0.01
Fe: 0.500 0.500 0.500  1.52
Dy: 0.110 0.110 0.671  -0.23
Dy: 0.890 0.890 0.329  -0.23

Calculated values
space-group type: R-3m, No. 166
volume: 113.8 Å³ per cell



Result of the stability comparison: version B is the least stable of them.



Version A
VASP calculation (PBE) on Dy2PuFe after structural relaxation.

Cell lengths 3.384, 3.384, 8.604 Å; angles 90.00, 90.00, 90.00 degrees
Last column: magnetic moment on the atom in μB.
Fractional coordinates of all 4 atoms:
Dy: 0.000 0.000 0.810  -0.08
Dy: 0.000 0.000 0.190  -0.08
Fe: 0.500 0.500 0.000  1.81
Pu: 0.500 0.500 0.500  5.78

Calculated values
space-group type: P4/mmm, No. 123
volume: 98.5 Å³ per cell



Version B
VASP calculation (PBE) on Dy2PuFe after structural relaxation.

Cell lengths 3.404, 3.404, 10.650 Å; angles 80.80, 80.80, 60.00 degrees
Last column: magnetic moment on the atom in μB.
Fractional coordinates of all 4 atoms:
Dy: 0.106 0.106 0.681  0.24
Dy: 0.894 0.894 0.319  0.24
Fe: 0.500 0.500 0.500  -1.47
Pu: 0.000 0.000 0.000  5.78

Calculated values
space-group type: R-3m, No. 166
volume: 105.0 Å³ per cell



Result of the stability comparison: version B is the least stable of them.